This record from the Alexandria database describes a relaxed LiMn2F9 crystal. The functional is GGA+U.

Calculated values
symmetry: P-1
energy above the lowest structure with this stoichiometry: 0 meV per atom

Cell lengths 5.1864, 8.0754, 8.0933 Å; angles 116.07, 97.04, 97.22 degrees
Sites, in units of the cell vectors:
Li 0.2489 0.2432 0.2553
Li 0.7511 0.7568 0.7447
Mn 0.1455 0.6937 0.3808
Mn 0.3537 0.1191 0.8058
Mn 0.6463 0.8809 0.1942
Mn 0.8545 0.3063 0.6192
F 0.0573 0.4471 0.2260
F 0.0723 0.2529 0.7936
F 0.1261 0.3098 0.5050
F 0.1306 0.9565 0.8414
F 0.2499 0.9637 0.5364
F 0.3676 0.6581 0.5429
F 0.3752 0.9952 0.1907
F 0.4275 0.7059 0.2473
F 0.4416 0.2739 0.0518
F 0.5584 0.7261 0.9482
F 0.5725 0.2941 0.7527
F 0.6248 0.0048 0.8093
F 0.6324 0.3419 0.4571
F 0.7501 0.0363 0.4636
F 0.8694 0.0435 0.1586
F 0.8739 0.6902 0.4950
F 0.9277 0.7471 0.2064
F 0.9427 0.5529 0.7740